(1)
This record from Alexandria describes TiCr3Cu at its PBEsol-relaxed geometry. The functional is meta-GGA SCAN.

Computed properties:
Spin magnetization in μB/cell: 0.00
Raw total energy in eV/atom: -15.479

Cell lengths 4.162, 4.162, 4.162 Å; angles 90.00, 90.00, 90.00 degrees
Positions (direct):
Ti 0.000 0.000 0.000
Cr 0.000 0.000 0.500
Cr 0.000 0.500 0.000
Cr 0.500 0.000 0.000
Cu 0.500 0.500 0.500

***

(2)
This record from Alexandria describes Y4W at its PBEsol-relaxed geometry. The functional is meta-GGA SCAN.

Computed properties:
Spin magnetization in μB/cell: 0.01
Raw total energy in eV/atom: -35.832

Cell lengths 11.555, 11.555, 11.555 Å; angles 162.85, 162.85, 24.34 degrees
Positions (direct):
Y 0.076 0.076 0.000
Y 0.303 0.303 0.000
Y 0.697 0.697 0.000
Y 0.924 0.924 0.000
W 0.500 0.500 0.000

***

(3)
This record from Alexandria describes TaTcMo2 at its PBEsol-relaxed geometry. The functional is meta-GGA SCAN.

Computed properties:
Spin magnetization in μB/cell: 0.00
E above lowest polymorph in meV/atom: 21.8
Raw total energy in eV/atom: -43.053

Cell lengths 5.231, 5.231, 5.231 Å; angles 145.04, 130.21, 62.28 degrees
Positions (direct):
Ta 0.000 0.000 0.000
Tc 0.500 0.500 0.000
Mo 0.251 0.751 0.500
Mo 0.749 0.249 0.500

***

(4)
This record from Alexandria describes KBa at its PBEsol-relaxed geometry. The functional is meta-GGA SCAN.

Computed properties:
Spin magnetization in μB/cell: 0.13
Raw total energy in eV/atom: -23.835

Cell lengths 7.988, 7.988, 7.988 Å; angles 32.07, 32.07, 32.07 degrees
Positions (direct):
K 0.000 0.000 0.000
Ba 0.500 0.500 0.500

***

(5)
This record from Alexandria describes Li2IrRh at its PBEsol-relaxed geometry. The functional is meta-GGA SCAN.

Computed properties:
Spin magnetization in μB/cell: 0.00
E above lowest polymorph in meV/atom: 143.5
Raw total energy in eV/atom: -27.545

Cell lengths 4.163, 4.163, 4.163 Å; angles 60.00, 60.00, 60.00 degrees
Positions (direct):
Li 0.000 0.000 0.000
Li 0.250 0.250 0.250
Ir 0.750 0.750 0.750
Rh 0.500 0.500 0.500

***

(6)
This record from Alexandria describes ZnCo2Ni at its PBEsol-relaxed geometry. The functional is meta-GGA SCAN.

Computed properties:
Spin magnetization in μB/cell: 3.93
Raw total energy in eV/atom: -16.073

Cell lengths 4.248, 4.248, 4.248 Å; angles 130.20, 130.20, 73.08 degrees
Positions (direct):
Zn 0.000 0.000 0.000
Co 0.250 0.750 0.500
Co 0.500 0.500 0.000
Ni 0.750 0.250 0.500